# 1
First-principles (PBE-GGA) data for crystalline SnGeW2 at its relaxed geometry, as listed in the Alexandria database.

Calculated values
Space group: Fm-3m (225)
Theoretical density: 13.6 g cm⁻³
Calculated formation energy: 0.65 eV per atom

abc: 4.585 4.585 4.585
angles: 60.00 60.00 60.00
Fractional positions:
W 0.750 0.750 0.750
W 0.250 0.250 0.250
Ge 0.000 0.000 0.000
Sn 0.500 0.500 0.500

=====

# 2
First-principles (PBE-GGA) data for crystalline LiMg2Cd3 at its relaxed geometry, as listed in the Alexandria database.

Calculated values
Space group: Cmmm (65)
Theoretical density: 5.3 g cm⁻³
Calculated formation energy: -0.17 eV per atom

abc: 4.989 7.848 6.628
angles: 90.00 90.00 71.47
Fractional positions:
Cd 0.500 0.000 0.757
Cd 0.172 0.657 0.765
Cd 0.172 0.657 0.235
Cd 0.500 0.000 0.243
Cd 0.828 0.343 0.765
Cd 0.828 0.343 0.235
Li 0.663 0.674 0.000
Li 0.337 0.326 0.000
Mg 0.334 0.331 0.500
Mg 0.666 0.669 0.500
Mg 0.000 0.000 0.500
Mg 0.000 0.000 0.000

=====

# 3
First-principles (PBE-GGA) data for crystalline Ho4InHg2Pt at its relaxed geometry, as listed in the Alexandria database.

Calculated values
Space group: R-3m (166)
Theoretical density: 11.7 g cm⁻³
Calculated formation energy: -0.68 eV per atom

abc: 5.181 5.181 8.915
angles: 73.11 73.11 60.00
Fractional positions:
Ho 0.868 0.868 0.396
Ho 0.385 0.385 0.846
Ho 0.615 0.615 0.154
Ho 0.132 0.132 0.604
Pt 0.500 0.500 0.500
In 0.000 0.000 0.000
Hg 0.742 0.742 0.775
Hg 0.258 0.258 0.225

=====

# 4
First-principles (PBE-GGA) data for crystalline NaMgIn2Ir at its relaxed geometry, as listed in the Alexandria database.

Calculated values
Space group: P4/mmm (123)
Theoretical density: 5.7 g cm⁻³
Calculated formation energy: -0.16 eV per atom

abc: 5.182 5.182 5.079
angles: 90.00 90.00 90.00
Fractional positions:
Mg 0.000 0.000 0.500
In 0.500 0.000 0.000
In 0.000 0.500 0.000
Ir 0.000 0.000 0.000
Na 0.500 0.500 0.500